Arrangement w

## PaSeN (GGA-PBE)

Data for a relaxed PaSeN crystal.

The total magnetization comes out at 0.00 μB per cell. The calculation puts the density of states at the Fermi level at 0.178 states/eV/f.u.

The space group is P-6m2 (No. 187) and the conventional cell measures 3.8384, 3.8384 and 4.3405 Å, with angles of 90.00, 90.00 and 120.00 degrees. The inequivalent atoms are Pa at (0.0000, 0.0000, 0.0000), Se at (0.6667, 0.3333, 0.5000) and N at (0.3333, 0.6667, 0.0000).

Arrangement x

## PaSeN (GGA-PBE)

Data for a relaxed PaSeN crystal.

The total magnetization comes out at 0.00 μB per cell.

The space group is F-43m (No. 216) and the conventional cell measures 6.196, 6.196 and 6.196 Å, with angles of 90.00, 90.00 and 90.00 degrees. The inequivalent atoms are Pa at (0.000, 0.000, 0.000), Se at (0.250, 0.250, 0.750) and N at (0.250, 0.250, 0.250).

Arrangement y

## PaSeN (GGA-PBE)

Data for a relaxed PaSeN crystal.

The total magnetization comes out at 0.00 μB per cell. The calculation puts the density of states at the Fermi level at 2.285 states/eV/f.u.

The space group is I4mm (No. 107) and the conventional cell measures 3.236, 3.236 and 10.795 Å, with angles of 90.00, 90.00 and 90.00 degrees. The inequivalent atoms are Pa at (0.000, 0.000, 0.000), Se at (0.000, 0.000, 0.283) and N at (0.000, 0.000, 0.549).

What are the relative energies? In meV/atom: arrangement w 0; arrangement x 844; arrangement y 600.

Arrangement w

## PaSeN (GGA-PBE)

Data for a relaxed PaSeN crystal.

The total magnetization comes out at 0.00 μB per cell. The calculation puts the density of states at the Fermi level at 0.068 states/eV/f.u.

The space group is P4/nmm (No. 129, origin choice 2) and the conventional cell measures 3.894, 3.894 and 7.045 Å, with angles of 90.00, 90.00 and 90.00 degrees. The inequivalent atoms are Pa at (0.250, 0.250, 0.173), Se at (0.250, 0.250, 0.630) and N at (0.250, 0.750, 0.000).

Arrangement x

## PaSeN (GGA-PBE)

Data for a relaxed PaSeN crystal.

The total magnetization comes out at 0.00 μB per cell.

The space group is R-3m (No. 166, hexagonal axes) and the conventional cell measures 3.9166, 3.9166 and 30.6273 Å, with angles of 90.00, 90.00 and 120.00 degrees. The inequivalent atoms are Pa at (0.0000, 0.0000, 0.2146), Se at (0.0000, 0.0000, 0.3948) and N at (0.0000, 0.0000, 0.1398).

What are the relative energies? In meV/atom: arrangement w 0; arrangement x 92.

Arrangement w

## Pa2Se2N (GGA-PBE)

Data for a relaxed Pa2Se2N crystal.

The total magnetization comes out at 8.28 μB per cell. The calculation puts the density of states at the Fermi level at 7.407 states/eV/f.u.

The space group is C2/m (No. 12) and the conventional cell measures 12.634, 3.773 and 10.900 Å, with angles of 90.00, 124.21 and 90.00 degrees. The inequivalent atoms are Pa at (0.014, 0.000, 0.165), Pa at (0.173, 0.000, 0.575), Se at (0.038, 0.500, 0.669), Se at (0.159, 0.500, 0.092) and N at (0.204, 0.000, 0.382).

Arrangement x

## Pa2Se2N (GGA-PBE)

Data for a relaxed Pa2Se2N crystal.

The total magnetization comes out at 7.53 μB per cell. The calculation puts the density of states at the Fermi level at 8.390 states/eV/f.u.

The space group is Ibam (No. 72) and the conventional cell measures 6.736, 11.298 and 5.681 Å, with angles of 90.00, 90.00 and 90.00 degrees. The inequivalent atoms are Pa at (0.210, 0.099, 0.000), Se at (0.152, 0.354, 0.000) and N at (0.000, 0.000, 0.250).

What are the relative energies? In meV/atom: arrangement w 0; arrangement x 44.

Arrangement w

## PaSiN (GGA-PBE)

Data for a relaxed PaSiN crystal.

The total magnetization comes out at 0.00 μB per cell. The calculation puts the density of states at the Fermi level at 0.952 states/eV/f.u.

The space group is Cmcm (No. 63) and the conventional cell measures 3.924, 13.030 and 3.906 Å, with angles of 90.00, 90.00 and 90.00 degrees. The inequivalent atoms are Pa at (0.000, 0.158, 0.250), Si at (0.000, 0.452, 0.250) and N at (0.000, 0.254, 0.750).

Arrangement x

## PaSiN (GGA-PBE)

Data for a relaxed PaSiN crystal.

The total magnetization comes out at 0.00 μB per cell. The calculation puts the density of states at the Fermi level at 2.081 states/eV/f.u.

The space group is I4/mmm (No. 139) and the conventional cell measures 3.264, 3.264 and 19.686 Å, with angles of 90.00, 90.00 and 90.00 degrees. The inequivalent atoms are Pa at (0.000, 0.000, 0.175), Si at (0.000, 0.000, 0.441) and N at (0.000, 0.000, 0.292).

What are the relative energies? In meV/atom: arrangement w 0; arrangement x 462.

Arrangement w

## Sm2PaN4 (GGA-PBE)

Data for a relaxed Sm2PaN4 crystal.

The total magnetization comes out at 0.00 μB per cell. The calculation puts the density of states at the Fermi level at 3.599 states/eV/f.u.

The space group is I-42d (No. 122) and the conventional cell measures 7.231, 7.231 and 7.648 Å, with angles of 90.00, 90.00 and 90.00 degrees. The inequivalent atoms are Sm at (0.117, 0.750, 0.125), Pa at (0.000, 0.000, 0.500) and N at (0.061, 0.698, 0.452).

Arrangement x

## Sm2PaN4 (GGA-PBE)

Data for a relaxed Sm2PaN4 crystal.

The total magnetization comes out at 1.55 μB per cell. The calculation puts the density of states at the Fermi level at 2.736 states/eV/f.u.

The space group is Pbam (No. 55) and the conventional cell measures 6.015, 9.996 and 3.624 Å, with angles of 90.00, 90.00 and 90.00 degrees. The inequivalent atoms are Sm at (0.062, 0.175, 0.000), Pa at (0.000, 0.500, 0.500), N at (0.150, 0.698, 0.500) and N at (0.234, 0.459, 0.000).

What are the relative energies? In meV/atom: arrangement w 140; arrangement x 0.

Arrangement w

## Sm4PaN4 (GGA-PBE)

Data for a relaxed Sm4PaN4 crystal.

The total magnetization comes out at 0.00 μB per cell. The calculation puts the density of states at the Fermi level at 5.728 states/eV/f.u.

The space group is C2/m (No. 12) and the conventional cell measures 11.930, 3.579 and 8.800 Å, with angles of 90.00, 119.91 and 90.00 degrees. The inequivalent atoms are Sm at (0.109, 0.000, 0.394), Sm at (0.203, 0.500, 0.808), Pa at (0.000, 0.500, 0.000), N at (0.090, 0.000, 0.912) and N at (0.192, 0.500, 0.287).

Arrangement x

## Sm4PaN4 (GGA-PBE)

Data for a relaxed Sm4PaN4 crystal.

The total magnetization comes out at 4.82 μB per cell. The calculation puts the density of states at the Fermi level at 6.775 states/eV/f.u.

The space group is I-42m (No. 121) and the conventional cell measures 5.807, 5.807 and 11.229 Å, with angles of 90.00, 90.00 and 90.00 degrees. The inequivalent atoms are Sm at (0.000, 0.000, 0.213), Sm at (0.000, 0.500, 0.000), Pa at (0.000, 0.000, 0.500) and N at (0.220, 0.220, 0.626).

What are the relative energies? In meV/atom: arrangement w 0; arrangement x 631.